1.
Li5Ca2Al2Cd | GGA-PBE | optimized geometry

a b c (Å): 3.848 10.894 10.894
angles (deg): 90.00 90.00 90.00
Atoms (fractional coordinates):
1 Li 0.500 0.200 0.061
2 Li 0.500 0.800 0.939
3 Li 0.500 0.061 0.800
4 Li 0.500 0.700 0.439
5 Li 0.500 0.939 0.200
6 Li 0.500 0.300 0.561
7 Li 0.500 0.561 0.700
8 Li 0.500 0.439 0.300
9 Li 0.500 0.500 0.000
10 Li 0.500 0.000 0.500
11 Ca 0.000 0.675 0.175
12 Ca 0.000 0.325 0.825
13 Ca 0.000 0.175 0.325
14 Ca 0.000 0.825 0.675
15 Al 0.000 0.121 0.621
16 Al 0.000 0.879 0.379
17 Al 0.000 0.621 0.879
18 Al 0.000 0.379 0.121
19 Cd 0.000 0.000 0.000
20 Cd 0.000 0.500 0.500

Results
The calculation puts the total energy at -2.261 eV per atom. The total magnetization is 0.0000 μB/atom. Its space group is No. 127.

=====

2.
Ca2Mg5Al2Cd | GGA-PBE | optimized geometry

a b c (Å): 4.578 10.432 10.432
angles (deg): 90.00 90.00 90.00
Atoms (fractional coordinates):
1 Ca 0.000 0.690 0.190
2 Ca 0.000 0.310 0.810
3 Ca 0.000 0.190 0.310
4 Ca 0.000 0.810 0.690
5 Mg 0.500 0.209 0.055
6 Mg 0.500 0.791 0.945
7 Mg 0.500 0.055 0.791
8 Mg 0.500 0.709 0.445
9 Mg 0.500 0.945 0.209
10 Mg 0.500 0.291 0.555
11 Mg 0.500 0.555 0.709
12 Mg 0.500 0.445 0.291
13 Mg 0.500 0.500 0.000
14 Mg 0.500 0.000 0.500
15 Al 0.000 0.101 0.601
16 Al 0.000 0.899 0.399
17 Al 0.000 0.601 0.899
18 Al 0.000 0.399 0.101
19 Cd 0.000 0.000 0.000
20 Cd 0.000 0.500 0.500

Results
The calculation puts the total energy at -2.125 eV per atom. The total magnetization is 0.0000 μB/atom. Its space group is No. 127.

=====

Number 1: energy of formation from the pure elements -62 kJ/mol of formula units, DOS at the Fermi energy 9.7 states/eV/cell. Number 2: energy of formation from the pure elements -85 kJ/mol of formula units, DOS at the Fermi energy 10.2 states/eV/cell.